# KBa2Ga2, relaxed, DFT GGA-PBE
data_KBa2Ga2
_chemical_formula_sum 'K2 Ba4 Ga4'
_cell_length_a 6.438
_cell_length_b 6.438
_cell_length_c 10.021
_cell_angle_alpha 90.00
_cell_angle_beta 90.00
_cell_angle_gamma 90.00
_space_group_name_H-M_alt 'I 4/m m m'
_space_group_IT_number 139
_space_group_name_Hall '-I 4 2'
loop_
_atom_site_label
_atom_site_fract_x
_atom_site_fract_y
_atom_site_fract_z
K1 0.000 0.000 0.000
Ba1 0.000 0.500 0.250
Ga1 0.000 0.000 0.378
# * calculated density: 3.623 g/cm3
# * DFT formation energy: -0.13 eV per atom